CrMoPb | PBE | relaxed

Lattice parameters (Å, degrees): 4.3718 4.3718 4.3718 60.00 60.00 60.00
Last column: nearest neighbours and their distance in Å.
Positions (direct):
Mo 0.0000 0.0000 0.0000  4 Cr 2.68
Cr 0.2500 0.2500 0.2500  4 Mo 2.68, 4 Pb 2.68
Pb 0.5000 0.5000 0.5000  4 Cr 2.68

Summary:
magnetic moment	0.57	μB/atom
symmetry	F-43m (216)
electronic total energy	-7.28	eV per atom
D(E_F)	2.50	states/eV/f.u.
distance to the lowest polymorph of the same formula	159	meV/atom